(1)
## Ce2SnSb3Rh4 (PBE)

Data for crystalline Ce2SnSb3Rh4 at its relaxed geometry.

a b c (Å): 4.494 4.494 10.647
angles (deg): 90.00 90.00 90.00
Positions (direct):
Rh: 0.000 0.000 0.000
Ce: 0.500 0.000 0.245
Sn: 0.500 0.500 0.500
Rh: 0.500 0.000 0.628
Sb: 0.500 0.000 0.868
Sb: 0.000 0.000 0.500
Rh: 0.000 0.500 0.372
Rh: 0.500 0.500 0.000
Sb: 0.000 0.500 0.132
Ce: 0.000 0.500 0.755

E = -6.53 eV per atom
ΔE_f (raw) = -0.76 eV/atom

(2)
## TbCe2Sb3Rh4 (PBE)

Data for crystalline TbCe2Sb3Rh4 at its relaxed geometry.

a b c (Å): 4.365 4.365 11.560
angles (deg): 90.00 90.00 90.00
Positions (direct):
Tb: 0.500 0.500 0.500
Rh: 0.500 0.000 0.648
Sb: 0.500 0.000 0.870
Sb: 0.000 0.500 0.130
Rh: 0.000 0.500 0.352
Sb: 0.000 0.000 0.500
Rh: 0.500 0.500 0.000
Rh: 0.000 0.000 0.000
Ce: 0.500 0.000 0.231
Ce: 0.000 0.500 0.769

E = -6.64 eV per atom
ΔE_f (raw) = -0.82 eV/atom

(3)
## TbCeSb2Rh5 (PBE)

Data for crystalline TbCeSb2Rh5 at its relaxed geometry.

a b c (Å): 3.997 3.997 12.414
angles (deg): 90.00 90.00 90.00
Positions (direct):
Rh: 0.500 0.000 0.843
Sb: 0.000 0.000 0.707
Sb: 0.000 0.000 0.293
Rh: 0.500 0.000 0.157
Tb: 0.500 0.500 0.500
Rh: 0.000 0.500 0.157
Ce: 0.000 0.000 0.000
Rh: 0.000 0.500 0.843
Rh: 0.000 0.000 0.500

E = -6.53 eV per atom
ΔE_f (raw) = -0.36 eV/atom

(4)
## Ce2TiSb3Rh4 (PBE)

Data for crystalline Ce2TiSb3Rh4 at its relaxed geometry.

a b c (Å): 4.315 4.315 11.112
angles (deg): 90.00 90.00 90.00
Positions (direct):
Rh: 0.000 0.000 0.000
Sb: 0.500 0.000 0.863
Rh: 0.500 0.500 0.000
Ti: 0.500 0.500 0.500
Ce: 0.500 0.000 0.250
Ce: 0.000 0.500 0.750
Sb: 0.000 0.000 0.500
Rh: 0.000 0.500 0.369
Sb: 0.000 0.500 0.137
Rh: 0.500 0.000 0.631

E = -6.96 eV per atom
ΔE_f (raw) = -0.81 eV/atom

(5)
## Ce2USb3Rh4 (PBE)

Data for crystalline Ce2USb3Rh4 at its relaxed geometry.

a b c (Å): 4.453 4.453 11.126
angles (deg): 90.00 90.00 90.00
Positions (direct):
Sb: 0.000 0.000 0.500
Rh: 0.000 0.500 0.361
Rh: 0.500 0.000 0.639
Rh: 0.000 0.000 0.000
U: 0.500 0.500 0.500
Rh: 0.500 0.500 0.000
Sb: 0.500 0.000 0.871
Ce: 0.000 0.500 0.766
Sb: 0.000 0.500 0.129
Ce: 0.500 0.000 0.234

E = -7.20 eV per atom
ΔE_f (raw) = -0.71 eV/atom

(6)
## Ce2Zn2SbRh5 (PBE)

Data for crystalline Ce2Zn2SbRh5 at its relaxed geometry.

a b c (Å): 3.722 9.712 9.712
angles (deg): 90.00 90.00 90.00
Positions (direct):
Sb: 0.000 0.000 0.000
Ce: 0.000 0.675 0.175
Rh: 0.500 0.000 0.500
Rh: 0.500 0.795 0.926
Rh: 0.500 0.074 0.795
Zn: 0.000 0.379 0.121
Rh: 0.500 0.205 0.074
Sb: 0.000 0.500 0.500
Rh: 0.500 0.426 0.295
Rh: 0.500 0.574 0.705
Zn: 0.000 0.621 0.879
Ce: 0.000 0.825 0.675
Zn: 0.000 0.121 0.621
Zn: 0.000 0.879 0.379
Rh: 0.500 0.705 0.426
Rh: 0.500 0.926 0.205
Rh: 0.500 0.295 0.574
Ce: 0.000 0.175 0.325
Ce: 0.000 0.325 0.825
Rh: 0.500 0.500 0.000

E = -6.17 eV per atom
ΔE_f (raw) = -0.64 eV/atom

(7)
## CeSc2Rh9 (PBE)

Data for crystalline CeSc2Rh9 at its relaxed geometry.

a b c (Å): 3.982 3.982 11.886
angles (deg): 90.00 90.00 90.00
Positions (direct):
Rh: 0.500 0.000 0.500
Ce: 0.000 0.000 0.000
Rh: 0.500 0.000 0.825
Sc: 0.000 0.000 0.338
Rh: 0.000 0.500 0.500
Rh: 0.500 0.000 0.175
Rh: 0.500 0.500 0.337
Rh: 0.000 0.500 0.825
Rh: 0.000 0.500 0.175
Sc: 0.000 0.000 0.662
Rh: 0.500 0.500 0.000
Rh: 0.500 0.500 0.663

formation energy = -0.623 eV/atom
E = -7.69 eV per atom

(8)
## Ce2ScRh (PBE)

Data for crystalline Ce2ScRh at its relaxed geometry.

a b c (Å): 3.689 3.689 7.086
angles (deg): 90.00 90.00 90.00
Positions (direct):
Ce: 0.000 0.000 0.206
Sc: 0.500 0.500 0.500
Rh: 0.500 0.500 0.000
Ce: 0.000 0.000 0.794

polymorph energy (0 for the lowest one) = 0.00 eV/f.u.
formation energy = -0.272 eV/atom
E = -6.66 eV per atom

(9)
## CeSc2Rh6 (PBE)

Data for crystalline CeSc2Rh6 at its relaxed geometry.

a b c (Å): 4.305 6.094 7.451
angles (deg): 114.14 106.94 90.00
Positions (direct):
Rh: 0.835 0.089 0.671
Sc: 0.327 0.328 0.656
Rh: 0.165 0.417 0.329
Rh: 0.165 0.911 0.329
Ce: 0.000 0.000 0.000
Rh: 0.500 0.260 0.000
Sc: 0.673 0.672 0.344
Rh: 0.835 0.583 0.671
Rh: 0.500 0.740 0.000

formation energy = -0.251 eV/atom
E = -7.22 eV per atom

(10)
## Ce2ScRh (PBE)

Data for crystalline Ce2ScRh at its relaxed geometry.

a b c (Å): 3.130 3.130 10.720
angles (deg): 81.60 81.60 60.00
Positions (direct):
Sc: 0.000 0.000 0.000
Ce: 0.094 0.094 0.717
Rh: 0.500 0.500 0.500
Ce: 0.906 0.906 0.283

polymorph energy (0 for the lowest one) = 0.97 eV/f.u.
formation energy = -0.030 eV/atom
E = -6.42 eV per atom

(11)
## CeScRh2 (PBE)

Data for crystalline CeScRh2 at its relaxed geometry.

a b c (Å): 3.320 3.320 6.877
angles (deg): 90.00 90.00 90.00
Positions (direct):
Sc: 0.500 0.500 0.000
Rh: 0.000 0.000 0.228
Ce: 0.500 0.500 0.500
Rh: 0.000 0.000 0.772

formation energy = -0.798 eV/atom
E = -7.54 eV per atom

(12)
## CeScRh (PBE)

Data for crystalline CeScRh at its relaxed geometry.

a b c (Å): 6.567 5.819 7.025
angles (deg): 91.32 90.00 90.00
Positions (direct):
Ce: 0.039 0.265 0.920
Ce: 0.461 0.765 0.920
Ce: 0.961 0.735 0.080
Sc: 0.584 0.749 0.415
Rh: 0.753 0.006 0.703
Sc: 0.084 0.751 0.585
Rh: 0.253 0.494 0.297
Rh: 0.247 0.994 0.297
Sc: 0.416 0.251 0.585
Ce: 0.539 0.235 0.080
Sc: 0.916 0.249 0.415
Rh: 0.747 0.506 0.703

polymorph energy (0 for the lowest one) = 0.00 eV/f.u.
formation energy = -0.547 eV/atom
E = -7.09 eV per atom

(13)
## CeScRh4 (PBE)

Data for crystalline CeScRh4 at its relaxed geometry.

a b c (Å): 5.291 5.291 5.291
angles (deg): 60.00 60.00 60.00
Positions (direct):
Sc: 0.000 0.000 0.000
Rh: 0.123 0.626 0.626
Rh: 0.626 0.626 0.626
Rh: 0.626 0.626 0.123
Rh: 0.626 0.123 0.626
Ce: 0.250 0.250 0.250

polymorph energy (0 for the lowest one) = 0.00 eV/f.u.
formation energy = -0.672 eV/atom
E = -7.62 eV per atom

(14)
## CeSc2Rh3 (PBE)

Data for crystalline CeSc2Rh3 at its relaxed geometry.

a b c (Å): 4.699 4.699 5.782
angles (deg): 90.00 90.00 120.00
Positions (direct):
Ce: 0.000 0.000 0.000
Sc: 0.333 0.667 0.656
Sc: 0.667 0.333 0.344
Rh: 0.667 0.333 0.822
Rh: 0.333 0.667 0.178
Rh: 0.000 0.000 0.500

formation energy = -0.853 eV/atom
E = -7.63 eV per atom

(15)
## CeScRh4 (PBE)

Data for crystalline CeScRh4 at its relaxed geometry.

a b c (Å): 3.681 5.054 6.681
angles (deg): 104.91 74.01 68.64
Positions (direct):
Rh: 0.314 0.024 0.349
Rh: 0.686 0.976 0.651
Ce: 0.000 0.000 0.000
Rh: 0.153 0.512 0.181
Sc: 0.500 0.500 0.500
Rh: 0.847 0.488 0.819

polymorph energy (0 for the lowest one) = 0.87 eV/f.u.
formation energy = -0.527 eV/atom
E = -7.47 eV per atom

(16)
## CeScRh (PBE)

Data for crystalline CeScRh at its relaxed geometry.

a b c (Å): 4.709 4.709 4.709
angles (deg): 60.00 60.00 60.00
Positions (direct):
Ce: 0.500 0.500 0.500
Sc: 0.000 0.000 0.000
Rh: 0.250 0.250 0.250

polymorph energy (0 for the lowest one) = 0.45 eV/f.u.
formation energy = -0.397 eV/atom
E = -6.94 eV per atom

(17)
## CeSc3Rh4 (PBE)

Data for crystalline CeSc3Rh4 at its relaxed geometry.

a b c (Å): 4.663 4.663 8.136
angles (deg): 73.35 73.35 60.00
Positions (direct):
Sc: 0.755 0.755 0.735
Rh: 0.379 0.379 0.862
Rh: 0.621 0.621 0.138
Sc: 0.245 0.245 0.265
Sc: 0.500 0.500 0.500
Rh: 0.126 0.126 0.622
Ce: 0.000 0.000 0.000
Rh: 0.874 0.874 0.378

formation energy = -0.889 eV/atom
E = -7.68 eV per atom

(18)
## CeScRh6 (PBE)

Data for crystalline CeScRh6 at its relaxed geometry.

a b c (Å): 4.888 7.495 7.519
angles (deg): 98.73 101.91 102.21
Positions (direct):
Rh: 0.996 0.125 0.871
Ce: 0.000 0.500 0.000
Sc: 0.500 0.500 0.500
Rh: 0.505 0.375 0.130
Rh: 0.013 0.250 0.261
Rh: 0.513 0.750 0.261
Rh: 0.995 0.375 0.620
Ce: 0.500 0.000 0.000
Rh: 0.987 0.750 0.739
Rh: 0.495 0.625 0.870
Rh: 0.505 0.125 0.380
Rh: 0.004 0.875 0.129
Rh: 0.487 0.250 0.739
Rh: 0.005 0.625 0.380
Rh: 0.495 0.875 0.620
Sc: 0.000 0.000 0.500

formation energy = -0.513 eV/atom
E = -7.56 eV per atom

(19)
## CeScRh (PBE)

Data for crystalline CeScRh at its relaxed geometry.

a b c (Å): 3.238 3.238 6.726
angles (deg): 103.93 103.93 90.00
Positions (direct):
Ce: 0.022 0.022 0.044
Sc: 0.298 0.298 0.596
Rh: 0.680 0.680 0.360

polymorph energy (0 for the lowest one) = 0.18 eV/f.u.
formation energy = -0.486 eV/atom
E = -7.03 eV per atom

(20)
## Ce2ScZn2Rh5 (PBE)

Data for crystalline Ce2ScZn2Rh5 at its relaxed geometry.

a b c (Å): 3.649 9.831 9.831
angles (deg): 90.00 90.00 90.00
Positions (direct):
Ce: 0.000 0.674 0.174
Rh: 0.500 0.295 0.576
Rh: 0.500 0.576 0.705
Zn: 0.000 0.378 0.122
Sc: 0.000 0.500 0.500
Zn: 0.000 0.878 0.378
Rh: 0.500 0.205 0.076
Zn: 0.000 0.622 0.878
Ce: 0.000 0.826 0.674
Zn: 0.000 0.122 0.622
Ce: 0.000 0.174 0.326
Rh: 0.500 0.705 0.424
Rh: 0.500 0.076 0.795
Rh: 0.500 0.924 0.205
Rh: 0.500 0.795 0.924
Sc: 0.000 0.000 0.000
Ce: 0.000 0.326 0.826
Rh: 0.500 0.000 0.500
Rh: 0.500 0.500 0.000
Rh: 0.500 0.424 0.295

formation energy = -0.645 eV/atom
E = -6.40 eV per atom

(21)
## CeScZnRh (PBE)

Data for crystalline CeScZnRh at its relaxed geometry.

a b c (Å): 4.861 4.861 4.861
angles (deg): 60.00 60.00 60.00
Positions (direct):
Ce: 0.750 0.750 0.750
Sc: 0.250 0.250 0.250
Zn: 0.000 0.000 0.000
Rh: 0.500 0.500 0.500

formation energy = -0.480 eV/atom
E = -5.70 eV per atom

(22)
## Ce2RhSe (PBE)

Data for crystalline Ce2RhSe at its relaxed geometry.

a b c (Å): 3.988 3.988 7.780
angles (deg): 75.15 75.15 60.00
Positions (direct):
Rh: 0.668 0.668 0.995
Ce: 0.258 0.258 0.225
Ce: 0.074 0.074 0.777
Se: 0.499 0.499 0.503

polymorph energy (0 for the lowest one) = 0.28 eV/f.u.
E = -6.79 eV per atom
ΔE_f (raw) = -1.11 eV/atom

(23)
## CeRhSe (PBE)

Data for crystalline CeRhSe at its relaxed geometry.

a b c (Å): 3.769 4.340 4.340
angles (deg): 120.00 90.00 90.00
Positions (direct):
Rh: 0.168 0.333 0.667
Ce: 0.666 0.667 0.333
Se: 0.166 0.000 0.000

polymorph energy (0 for the lowest one) = 0.00 eV/f.u.
E = -6.79 eV per atom
ΔE_f (raw) = -1.20 eV/atom

(24)
## CeRhSe (PBE)

Data for crystalline CeRhSe at its relaxed geometry.

a b c (Å): 3.823 3.823 10.488
angles (deg): 100.50 100.50 90.00
Positions (direct):
Rh: 0.722 0.722 0.443
Se: 0.590 0.590 0.179
Se: 0.410 0.410 0.821
Ce: 0.147 0.147 0.294
Rh: 0.278 0.278 0.557
Ce: 0.853 0.853 0.706

polymorph energy (0 for the lowest one) = 0.41 eV/f.u.
E = -6.65 eV per atom
ΔE_f (raw) = -1.06 eV/atom